# 1
Computed, not measured: a relaxed structure of Ac2HgGe4Pd3 at the GGA-PBE level of DFT.

Cell lengths 4.519, 4.519, 10.558 Å; angles 90.00, 90.00, 90.00 degrees
Space group P-4m2 (No. 115)
One atom of each set of equivalent atoms:
Ac 0.000 0.500 0.244 x2
Hg 0.000 0.000 0.500 x1
Ge 0.000 0.000 0.000 x1
Ge 0.000 0.500 0.644 x2
Ge 0.500 0.500 0.000 x1
Pd 0.000 0.500 0.883 x2
Pd 0.500 0.500 0.500 x1

Results
E: -4.962 eV/atom
total magnetic moment: 0.00 μB/f.u.

# 2
Computed, not measured: a relaxed structure of Ac2Hg2GePd4 at the GGA-PBE level of DFT.

Cell lengths 6.821, 6.821, 8.980 Å; angles 90.00, 90.00, 90.00 degrees
Space group I4/mmm (No. 139)
One atom of each set of equivalent atoms:
Ac 0.000 0.500 0.250 x4
Hg 0.000 0.000 0.180 x4
Ge 0.000 0.000 0.500 x2
Pd 0.245 0.245 0.000 x8

Results
E: -4.362 eV/atom
total magnetic moment: 0.00 μB/f.u.

# 3
Computed, not measured: a relaxed structure of Ac2HgGe3Pd4 at the GGA-PBE level of DFT.

Cell lengths 4.484, 4.484, 10.684 Å; angles 90.00, 90.00, 90.00 degrees
Space group P-4m2 (No. 115)
One atom of each set of equivalent atoms:
Ac 0.000 0.500 0.246 x2
Hg 0.000 0.000 0.500 x1
Ge 0.000 0.500 0.882 x2
Ge 0.500 0.500 0.500 x1
Pd 0.000 0.000 0.000 x1
Pd 0.000 0.500 0.649 x2
Pd 0.500 0.500 0.000 x1

Results
E: -5.054 eV/atom
total magnetic moment: 0.00 μB/f.u.

Results for ΔE_f: -0.705 -0.561 -0.740 (in eV/atom, following the order of the records).
Results for ρ: 9.7 10.8 10.0 (in g cm⁻³, following the order of the records).